Entry 1:
Density functional theory data (PBE) for crystalline LiMgMnZn2 at its relaxed geometry.

## Properties
The formation energy comes out at 0.47 eV per atom. The value obtained for the total energy is -0.189 Ry per atom. The total magnetization comes out at 0.570 μB per atom.

abc: 4.7694 5.0429 4.7694
angles: 90.00 90.00 90.00
Last column: nearest neighbours and their distance in Å.
Element x y z (fractional)
Zn1 0.0000 0.0000 0.5000  2 Mn 2.38
Zn2 0.5000 0.0000 0.0000  2 Mn 2.38
Mg1 0.0000 0.5000 0.0000  2 Mn 2.52
Li1 0.5000 0.5000 0.5000  4 Mg 3.37, 8 Zn 3.47
Mn1 0.0000 0.0000 0.0000  4 Zn 2.38, 2 Mg 2.52

***

Entry 2:
Density functional theory data (PBE) for crystalline OsRuRh2 at its relaxed geometry.

## Properties
The formation energy comes out at 0.18 eV per atom. The value obtained for the total energy is -0.634 Ry per atom. The total magnetization comes out at 0.000 μB per atom.

abc: 4.1855 2.6792 5.2630
angles: 75.30 90.00 90.00
Last column: nearest neighbours and their distance in Å.
Element x y z (fractional)
Os1 0.5000 0.7999 0.7745  7 Rh 2.58-2.84, 2 Os 2.68
Ru1 0.0000 0.4493 0.4771  7 Rh 2.57-2.86, 2 Ru 2.68
Rh1 0.5000 0.0540 0.2673  4 Rh 2.55-2.68, 3 Os 2.58-2.84, 4 Ru 2.70
Rh2 0.0000 0.1967 0.9811  4 Rh 2.55-2.68, 1 Ru 2.57, 4 Os 2.70

***

Entry 3:
Density functional theory data (PBE) for crystalline LaEr2Tm5 at its relaxed geometry.

## Properties
The formation energy comes out at 0.03 eV per atom. The value obtained for the total energy is -0.332 Ry per atom. The total magnetization comes out at 0.000 μB per atom.

abc: 7.0365 7.0365 7.0365
angles: 90.21 119.88 119.88
Last column: nearest neighbours and their distance in Å.
Element x y z (fractional)
Er1 0.5000 0.2223 0.7223  10 Tm 3.52, 2 La 3.52
Er2 0.5000 0.7223 0.2223  10 Tm 3.52, 2 La 3.52
La1 0.0000 0.2225 0.2225  8 Tm 3.52, 4 Er 3.52
Tm1 0.0000 0.2221 0.7223  2 La 3.52, 4 Er 3.52, 6 Tm 3.52-3.53
Tm2 0.4998 0.2221 0.2221  2 La 3.52, 4 Er 3.52, 6 Tm 3.52-3.53
Tm3 0.5002 0.7223 0.7223  2 La 3.52, 4 Er 3.52, 6 Tm 3.52-3.53
Tm4 0.0000 0.7221 0.7221  8 Tm 3.52, 4 Er 3.52
Tm5 0.0000 0.7223 0.2221  2 La 3.52, 4 Er 3.52, 6 Tm 3.52-3.53

***

Entry 4:
Density functional theory data (PBE) for crystalline CdTcTe2I at its relaxed geometry.

## Properties
As for the formation energy from raw total energies: 0.367 eV per atom. The value obtained for the total energy is -0.254 Ry per atom. The total magnetization comes out at 0.000 μB per atom.

abc: 5.1718 5.1718 5.8387
angles: 90.00 90.00 90.00
Last column: nearest neighbours and their distance in Å.
Element x y z (fractional)
I1 0.0000 0.0000 0.5000  2 Tc 2.92
Cd1 0.5000 0.5000 0.5000  4 I 3.66, 8 Te 3.90
Te1 0.5000 0.0000 0.0000  2 Tc 2.59
Te2 0.0000 0.5000 0.0000  2 Tc 2.59
Tc1 0.0000 0.0000 0.0000  4 Te 2.59